(1)
Density functional theory data (PBE) for a geometry-optimized Pu3TlI8 structure.

The space group is C2/m (No. 12) and the conventional cell measures 15.9213, 9.3668 and 9.3473 Å, with angles of 90.00, 124.84 and 90.00 degrees. The inequivalent atoms are Pu at (0.0000, 0.0000, 0.0000), Pu at (0.2500, 0.2500, 0.5000), Tl at (0.0000, 0.5000, 0.0000), I at (0.0076, 0.2302, 0.2563), I at (0.2377, 0.0000, 0.7164) and I at (0.2472, 0.0000, 0.2586).

The calculation puts the uncorrected formation energy at -1.0249 eV per atom.

---

(2)
Density functional theory data (PBE) for a geometry-optimized Si2SbAu2 structure.

The space group is I4/mmm (No. 139) and the conventional cell measures 4.0769, 4.0769 and 11.9040 Å, with angles of 90.00, 90.00 and 90.00 degrees. The inequivalent atoms are Si at (0.0000, 0.5000, 0.2500), Sb at (0.0000, 0.0000, 0.0000) and Au at (0.0000, 0.0000, 0.3832).

The calculation puts the uncorrected formation energy at 0.1974 eV per atom. The excess energy over the best structure of this formula in the dataset comes out at 0.000 eV per atom.

---

(3)
Density functional theory data (PBE) for a geometry-optimized ScP3W structure.

The space group is Pm-3m (No. 221) and the conventional cell measures 4.7022, 4.7022 and 4.7022 Å, with angles of 90.00, 90.00 and 90.00 degrees. The inequivalent atoms are Sc at (0.0000, 0.0000, 0.0000), P at (0.0000, 0.0000, 0.5000) and W at (0.5000, 0.5000, 0.5000).

Its calculated formation energy is 1.434 eV/atom. The excess energy over the best structure of this formula in the dataset comes out at 1.243 eV per atom.

---

(4)
Density functional theory data (PBE) for a geometry-optimized K2TbI5 structure.

The space group is Pnma (No. 62) and the conventional cell measures 14.5193, 9.7654 and 9.2920 Å, with angles of 90.00, 90.00 and 90.00 degrees. The inequivalent atoms are K at (0.1713, 0.0062, 0.0748), Tb at (0.0056, 0.2500, 0.5785), I at (0.0099, 0.2500, 0.9215), I at (0.0667, 0.5469, 0.6694), I at (0.1847, 0.2500, 0.3942) and I at (0.2020, 0.7500, 0.3522).

The calculation puts the uncorrected formation energy at -1.4325 eV per atom. The excess energy over the best structure of this formula in the dataset comes out at 0.000 eV per atom.

---

Number 1: size of the total moment 17.00 μB per formula unit. Number 2: size of the total moment 0.00 μB per formula unit. Number 3: size of the total moment 0.03 μB per formula unit. Number 4: size of the total moment 0.00 μB per formula unit.